Record 1
VASP calculation (PBE) on MgAgAu2 after structural relaxation.

Values from the calculation:
Magnetic moment ... 0.00 μB/f.u.
Formation energy ... -0.3407 eV per atom
Uncorrected energy ... -3.091 eV/atom

a b c (Å): 4.169 4.168 4.110
angles (deg): 90.00 90.00 90.00
Fractional coordinates of all 4 atoms:
Au1 0.500 0.500 0.000
Au2 0.000 0.000 0.000
Ag1 0.000 0.500 0.500
Mg1 0.500 0.000 0.500


Record 2
VASP calculation (PBE) on KBe2Re after structural relaxation.

Values from the calculation:
Excess energy over the best structure of this formula in the dataset ... 791.3 meV/atom
Magnetic moment ... 0.00 μB/f.u.
Formation energy ... 1.2533 eV per atom
Uncorrected energy ... -3.996 eV/atom

a b c (Å): 6.227 6.227 6.227
angles (deg): 156.55 121.87 63.55
Fractional coordinates of all 4 atoms:
Be1 0.561 0.561 0.000
Be2 0.939 0.939 0.000
Re1 0.750 0.250 0.500
K1 0.250 0.750 0.500


- Among the records above, which one has the lowest uncorrected energy?
  KBe2Re